A plane-wave DFT calculation with PBE was carried out for crystalline GaCu2Pt at its relaxed geometry.

Properties
formation enthalpy at 0 K	-0.3065	eV/atom
magnetization	0.00	μB/f.u.
symmetry	No. 11

Lattice parameters (Å, degrees): 5.2185 3.9573 5.3327 90.00 92.52 90.00
Sites, in units of the cell vectors:
1 Ga 0.1682 0.2500 0.1364
2 Ga 0.8318 0.7500 0.8636
3 Cu 0.1094 0.2500 0.6031
4 Cu 0.3929 0.7500 0.3798
5 Cu 0.6071 0.2500 0.6202
6 Cu 0.8906 0.7500 0.3969
7 Pt 0.3245 0.7500 0.8706
8 Pt 0.6755 0.2500 0.1294

=====

A plane-wave DFT calculation with PBE was carried out for crystalline LiScTc2 at its relaxed geometry.

Properties
ΔE to the lowest computed polymorph	0.187	eV/atom
formation enthalpy at 0 K	0.1461	eV/atom
magnetization	0.00	μB/f.u.
symmetry	No. 10

Lattice parameters (Å, degrees): 2.7091 4.5629 5.1043 90.00 100.90 90.00
Sites, in units of the cell vectors:
1 Li 0.0000 0.0000 0.0000
2 Sc 0.5000 0.0000 0.5000
3 Tc 0.2360 0.5000 0.7503
4 Tc 0.7640 0.5000 0.2497

=====

A plane-wave DFT calculation with PBE was carried out for crystalline Ba4ScIr at its relaxed geometry.

Properties
formation enthalpy at 0 K	1.0333	eV/atom
magnetization	2.47	μB/f.u.
symmetry	No. 216

Lattice parameters (Å, degrees): 6.9117 6.9117 6.9117 60.00 60.00 60.00
Sites, in units of the cell vectors:
1 Ba 0.1238 0.1238 0.1238
2 Ba 0.1238 0.1238 0.6287
3 Ba 0.1238 0.6287 0.1238
4 Ba 0.6287 0.1238 0.1238
5 Sc 0.5000 0.5000 0.5000
6 Ir 0.7500 0.7500 0.7500

=====

A plane-wave DFT calculation with PBE was carried out for crystalline KYGaAg2 at its relaxed geometry.

Properties
formation enthalpy at 0 K	1.1816	eV/atom
magnetization	0.00	μB/f.u.
symmetry	No. 123

Lattice parameters (Å, degrees): 5.2412 5.2412 5.8889 90.00 90.00 90.00
Sites, in units of the cell vectors:
1 K 0.0000 0.0000 0.0000
2 Y 0.0000 0.0000 0.5000
3 Ga 0.5000 0.5000 0.5000
4 Ag 0.0000 0.5000 0.0000
5 Ag 0.5000 0.0000 0.0000